Material: Rb2LiScBi
Method: DFT, GGA-PBE
State: relaxed

- Volume: 254 Å³ per cell
- Symmetry: No. 123
- Calculated formation energy: 0.844 eV/atom
- Density: 2.82 g/cm3

Cell lengths 6.8094, 5.4832, 6.8094 Å; angles 90.00, 90.00, 90.00 degrees
Each line ends with the local moment (μB).
Fractional positions:
Sc  0.0000  0.0000  0.0000  1.01
Bi  0.5000  0.5000  0.5000  -0.66
Rb  0.0000  0.0000  0.5000  0.02
Rb  0.5000  0.0000  0.0000  0.02
Li  0.0000  0.5000  0.0000  0.06

Material: CeAlPt2
Method: DFT, GGA-PBE
State: relaxed

- Volume: 308 Å³ per cell
- Symmetry: No. 62
- Calculated formation energy: -1.099 eV/atom
- Density: 12.02 g/cm3

Cell lengths 5.9561, 6.9900, 7.3993 Å; angles 90.00, 90.00, 90.00 degrees
Each line ends with the local moment (μB).
Fractional positions:
Ce  0.3411  0.2500  0.0280  0.37
Ce  0.8411  0.7500  0.4720  0.37
Ce  0.6589  0.7500  0.9720  0.37
Ce  0.1589  0.2500  0.5280  0.37
Al  0.6559  0.2500  0.3848  0.00
Al  0.1559  0.7500  0.1152  0.00
Al  0.3441  0.7500  0.6152  0.00
Al  0.8441  0.2500  0.8848  0.00
Pt  0.9212  0.0499  0.1858  -0.01
Pt  0.4212  0.9501  0.3142  -0.01
Pt  0.0788  0.5499  0.8142  -0.01
Pt  0.5788  0.4501  0.6858  -0.01
Pt  0.0788  0.9501  0.8142  -0.01
Pt  0.5788  0.0499  0.6858  -0.01
Pt  0.9212  0.4501  0.1858  -0.01
Pt  0.4212  0.5499  0.3142  -0.01

Material: CrGaHg3
Method: DFT, GGA-PBE
State: relaxed

- Volume: 150 Å³ per cell
- Symmetry: No. 221
- Calculated formation energy: 0.522 eV/atom
- Density: 8.01 g/cm3

Cell lengths 5.3125, 5.3125, 5.3125 Å; angles 90.00, 90.00, 90.00 degrees
Each line ends with the local moment (μB).
Fractional positions:
Cr  0.0000  0.0000  0.0000  3.71
Hg  0.0000  0.5000  0.0000  0.05
Hg  0.0000  0.0000  0.5000  0.03
Hg  0.5000  0.0000  0.0000  0.05
Ga  0.5000  0.5000  0.5000  -0.06

Material: Sm2Zn16Pt
Method: DFT, GGA-PBE
State: relaxed

- Volume: 310 Å³ per cell
- Symmetry: No. 160
- Calculated formation energy: -0.309 eV/atom
- Density: 8.26 g/cm3

Cell lengths 6.8199, 6.8199, 6.8199 Å; angles 82.70, 82.70, 82.70 degrees
Fractional positions:
Sm  0.6665  0.6665  0.6665
Sm  0.3378  0.3378  0.3378
Zn  0.7082  0.9987  0.2899
Zn  0.9987  0.2899  0.7082
Zn  0.2899  0.7082  0.9987
Zn  0.9987  0.7082  0.2899
Zn  0.7082  0.2899  0.9987
Zn  0.2899  0.9987  0.7082
Zn  0.3535  0.8381  0.3535
Zn  0.8381  0.3535  0.3535
Zn  0.3535  0.3535  0.8381
Zn  0.6504  0.1575  0.6504
Zn  0.1575  0.6504  0.6504
Zn  0.6504  0.6504  0.1575
Zn  0.9981  0.5018  0.9981
Zn  0.5018  0.9981  0.9981
Zn  0.9981  0.9981  0.5018
Zn  0.1010  0.1010  0.1010
Pt  0.8996  0.8996  0.8996

Material: Na2Mg2Ag
Method: DFT, GGA-PBE
State: relaxed

- Volume: 264 Å³ per cell
- Symmetry: No. 127
- ΔE to the lowest computed polymorph: 180.1 meV/atom
- Calculated formation energy: 0.253 eV/atom
- Density: 2.55 g/cm3

Cell lengths 7.3671, 7.3671, 4.8639 Å; angles 90.00, 90.00, 90.00 degrees
Fractional positions:
Na  0.3594  0.8594  0.0000
Na  0.8594  0.6406  0.0000
Na  0.6406  0.1406  0.0000
Na  0.1406  0.3594  0.0000
Mg  0.1696  0.6696  0.5000
Mg  0.6696  0.8304  0.5000
Mg  0.8304  0.3304  0.5000
Mg  0.3304  0.1696  0.5000
Ag  0.0000  0.0000  0.0000
Ag  0.5000  0.5000  0.0000

Material: PaMnNiS6
Method: DFT, GGA-PBE
State: relaxed

- Volume: 179 Å³ per cell
- Symmetry: No. 149
- Density: 4.98 g/cm3
- Formation energy (no corrections): -641.5 meV/atom

Cell lengths 5.8422, 5.9515, 5.9515 Å; angles 120.00, 90.00, 90.00 degrees
Each line ends with the local moment (μB).
Fractional positions:
Pa  0.0000  0.3333  0.6667  0.41
Mn  0.5000  0.0000  0.0000  2.80
Ni  0.5000  0.6667  0.3333  0.48
S  0.7236  0.6908  0.6649  0.00
S  0.7236  0.3351  0.0258  0.00
S  0.7236  0.9742  0.3092  0.00
S  0.2764  0.3351  0.3092  0.00
S  0.2764  0.6908  0.0258  0.00
S  0.2764  0.9742  0.6649  0.00

Material: ZnRhW
Method: DFT, GGA-PBE
State: relaxed

- Volume: 44 Å³ per cell
- Symmetry: No. 107
- ΔE to the lowest computed polymorph: 130.9 meV/atom
- Calculated formation energy: -0.087 eV/atom
- Density: 13.32 g/cm3

Cell lengths 5.8399, 5.8398, 2.8289 Å; angles 75.99, 75.98, 28.03 degrees
Fractional positions:
Rh  0.9992  0.9992  0.0008
W  0.6630  0.6630  0.3370
Zn  0.3378  0.3378  0.6622

Material: Ho6CoBi2
Method: DFT, GGA-PBE
State: relaxed

- Volume: 247 Å³ per cell
- Symmetry: No. 189
- ΔE to the lowest computed polymorph: 0.0 meV/atom
- Calculated formation energy: -0.461 eV/atom
- Density: 9.87 g/cm3

Cell lengths 8.3592, 8.3592, 4.0762 Å; angles 90.00, 90.00, 120.00 degrees
Fractional positions:
Ho  0.2310  0.0000  0.0000
Ho  0.0000  0.6075  0.5000
Ho  0.3925  0.3925  0.5000
Ho  0.7690  0.7690  0.0000
Ho  0.0000  0.2310  0.0000
Ho  0.6075  0.0000  0.5000
Co  0.0000  0.0000  0.5000
Bi  0.3333  0.6667  0.0000
Bi  0.6667  0.3333  0.0000

Material: SrInAg2F6
Method: DFT, GGA-PBE
State: relaxed

- Volume: 341 Å³ per cell
- Symmetry: No. 14
- Density: 5.18 g/cm3
- Formation energy (no corrections): -2181.2 meV/atom

Cell lengths 6.1598, 6.2885, 8.8148 Å; angles 90.00, 90.55, 90.00 degrees
Fractional positions:
Sr  0.5000  0.0000  0.0000
Sr  0.0000  0.5000  0.5000
In  0.5000  0.0000  0.5000
In  0.0000  0.5000  0.0000
Ag  0.0103  0.9601  0.2497
Ag  0.5103  0.5399  0.7497
Ag  0.9897  0.0399  0.7503
Ag  0.4897  0.4601  0.2503
F  0.2879  0.6827  0.0548
F  0.7879  0.8173  0.5548
F  0.7121  0.3173  0.9452
F  0.2121  0.1827  0.4452
F  0.3213  0.7150  0.4360
F  0.8213  0.7850  0.9360
F  0.6787  0.2850  0.5640
F  0.1787  0.2150  0.0640
F  0.8885  0.5463  0.2324
F  0.3885  0.9537  0.7324
F  0.1115  0.4537  0.7676
F  0.6115  0.0463  0.2676

Material: HfCu2HgS4
Method: DFT, GGA-PBE
State: relaxed

- Volume: 173 Å³ per cell
- Symmetry: No. 121
- Density: 6.08 g/cm3
- Formation energy (no corrections): -621.5 meV/atom

Cell lengths 5.6119, 5.6119, 6.7832 Å; angles 114.43, 114.43, 90.02 degrees
Fractional positions:
Hf  0.5000  0.5000  0.9999
Cu  0.7501  0.2501  0.5002
Cu  0.2501  0.7501  0.5002
Hg  0.0002  0.0002  0.0003
S  0.5979  0.5979  0.7225
S  0.4022  0.8753  0.2775
S  0.8753  0.4022  0.2775
S  0.1246  0.1246  0.7224

Material: BiAsWSe2
Method: DFT, GGA-PBE
State: relaxed

- Volume: 123 Å³ per cell
- Symmetry: No. 123
- ΔE to the lowest computed polymorph: 0.0 meV/atom
- Density: 8.42 g/cm3
- Formation energy (no corrections): 396.8 meV/atom

Cell lengths 4.8530, 4.8530, 5.2387 Å; angles 90.00, 90.00, 90.00 degrees
Fractional positions:
As  0.0000  0.0000  0.5000
Se  0.0000  0.5000  0.0000
Se  0.5000  0.0000  0.0000
Bi  0.5000  0.5000  0.5000
W  0.0000  0.0000  0.0000

Material: Ba4BiPI2
Method: DFT, GGA-PBE
State: relaxed

- Volume: 360 Å³ per cell
- Symmetry: No. 10
- Density: 4.81 g/cm3
- Formation energy (no corrections): -1352.0 meV/atom

Cell lengths 4.9523, 8.9036, 8.6304 Å; angles 71.12, 90.00, 90.00 degrees
Fractional positions:
Ba  0.0000  0.7111  0.7449
Ba  0.0000  0.2889  0.2551
Ba  0.5000  0.7044  0.2791
Ba  0.5000  0.2956  0.7209
Bi  0.5000  0.5000  0.0000
P  0.0000  0.5000  0.5000
I  0.0000  0.0000  0.0000
I  0.5000  0.0000  0.5000

Material: Li6Hg5P
Method: DFT, GGA-PBE
State: relaxed

- Volume: 220 Å³ per cell
- Symmetry: No. 12
- Calculated formation energy: -0.389 eV/atom
- Density: 8.13 g/cm3

Cell lengths 4.5423, 8.2410, 8.2410 Å; angles 120.93, 105.95, 105.95 degrees
Fractional positions:
P  0.0000  0.0000  0.0000
Hg  0.5000  0.1942  0.8058
Hg  0.0000  0.3419  0.6581
Hg  0.5000  0.5000  0.5000
Hg  0.0000  0.6581  0.3419
Hg  0.5000  0.8058  0.1942
Li  0.2215  0.0761  0.3672
Li  0.7785  0.6328  0.9239
Li  0.7004  0.2010  0.2010
Li  0.2997  0.7990  0.7990
Li  0.2215  0.3672  0.0761
Li  0.7785  0.9239  0.6328

Material: Er2Zn12Cu5
Method: DFT, GGA-PBE
State: relaxed

- Volume: 289 Å³ per cell
- Symmetry: No. 166
- Calculated formation energy: -0.224 eV/atom
- Density: 8.24 g/cm3

Cell lengths 6.6649, 6.6649, 6.6649 Å; angles 82.72, 82.72, 82.72 degrees
Fractional positions:
Er  0.6655  0.6655  0.6655
Er  0.3345  0.3345  0.3345
Zn  0.2915  0.7085  0.0000
Zn  0.7085  0.0000  0.2915
Zn  0.0000  0.2915  0.7085
Zn  0.7085  0.2915  0.0000
Zn  0.2915  0.0000  0.7085
Zn  0.0000  0.7085  0.2915
Zn  0.3476  0.3476  0.8510
Zn  0.3476  0.8510  0.3476
Zn  0.8510  0.3476  0.3476
Zn  0.6524  0.1490  0.6524
Zn  0.6524  0.6524  0.1490
Zn  0.1490  0.6524  0.6524
Cu  0.0000  0.0000  0.5000
Cu  0.0000  0.5000  0.0000
Cu  0.5000  0.0000  0.0000
Cu  0.8988  0.8988  0.8988
Cu  0.1012  0.1012  0.1012

Material: NaS3Cl
Method: DFT, GGA-PBE
State: relaxed

- Volume: 146 Å³ per cell
- Symmetry: No. 221
- ΔE to the lowest computed polymorph: 453.3 meV/atom
- Density: 1.76 g/cm3
- Formation energy (no corrections): 1015.1 meV/atom

Cell lengths 5.2687, 5.2687, 5.2687 Å; angles 90.00, 90.00, 90.00 degrees
Each line ends with the local moment (μB).
Fractional positions:
Na  0.0000  0.0000  0.0000  -0.01
S  0.0000  0.5000  0.0000  1.11
S  0.0000  0.0000  0.5000  1.06
S  0.5000  0.0000  0.0000  1.10
Cl  0.5000  0.5000  0.5000  0.54

Material: Nd2PaO
Method: DFT, GGA-PBE
State: relaxed

- Volume: 96 Å³ per cell
- Symmetry: No. 166
- Density: 9.30 g/cm3
- Formation energy (no corrections): -933.7 meV/atom

Cell lengths 3.3814, 3.3814, 9.8491 Å; angles 80.12, 80.12, 60.00 degrees
Fractional positions:
Pa  0.0000  0.0000  0.0000
Nd  0.1133  0.1133  0.6601
Nd  0.8867  0.8867  0.3399
O  0.5000  0.5000  0.5000

Material: LiGaPd3
Method: DFT, GGA-PBE
State: relaxed

- Volume: 155 Å³ per cell
- Symmetry: No. 161
- ΔE to the lowest computed polymorph: 163.5 meV/atom
- Calculated formation energy: -0.346 eV/atom
- Density: 8.47 g/cm3

Cell lengths 5.6250, 5.6250, 5.6250 Å; angles 71.46, 71.46, 71.46 degrees
Fractional positions:
Li  0.9536  0.9536  0.9536
Li  0.4536  0.4536  0.4536
Ga  0.7522  0.7522  0.7522
Ga  0.2522  0.2522  0.2522
Pd  0.1014  0.8416  0.3695
Pd  0.3416  0.6014  0.8695
Pd  0.6014  0.8695  0.3416
Pd  0.8695  0.3416  0.6014
Pd  0.3695  0.1014  0.8416
Pd  0.8416  0.3695  0.1014

Material: Cd5Hg12Cl3
Method: DFT, GGA-PBE
State: relaxed

- Volume: 2649 Å³ per cell
- Symmetry: No. 230
- Density: 7.71 g/cm3
- Formation energy (no corrections): -83.4 meV/atom

Cell lengths 15.0969, 15.0969, 15.0969 Å; angles 109.47, 109.47, 109.47 degrees
Fractional positions:
Cl  0.7500  0.3750  0.1250
Cl  0.8750  0.7500  0.1250
Cl  0.3750  0.7500  0.6250
Cl  0.2500  0.1250  0.3750
Cl  0.8750  0.1250  0.2500
Cl  0.3750  0.6250  0.2500
Cl  0.6250  0.3750  0.7500
Cl  0.1250  0.8750  0.7500
Cl  0.7500  0.8750  0.6250
Cl  0.6250  0.2500  0.3750
Cl  0.1250  0.2500  0.8750
Cl  0.2500  0.6250  0.8750
Cd  0.1250  0.3750  0.2500
Cd  0.0000  0.5000  0.0000
Cd  0.0000  0.0000  0.0000
Cd  0.3750  0.2500  0.1250
Cd  0.5000  0.0000  0.5000
Cd  0.5000  0.5000  0.0000
Cd  0.1250  0.7500  0.3750
Cd  0.7500  0.1250  0.8750
Cd  0.7500  0.6250  0.3750
Cd  0.3750  0.1250  0.7500
Cd  0.6250  0.8750  0.2500
Cd  0.5000  0.5000  0.5000
Cd  0.5000  0.0000  0.0000
Cd  0.0000  0.0000  0.5000
Cd  0.2500  0.3750  0.6250
Cd  0.2500  0.8750  0.1250
Cd  0.0000  0.5000  0.5000
Cd  0.8750  0.2500  0.6250
Cd  0.6250  0.7500  0.8750
Cd  0.8750  0.6250  0.7500
Hg  0.7283  0.1304  0.0576
Hg  0.3293  0.5576  0.4271
Hg  0.9424  0.3696  0.2717
Hg  0.5576  0.2283  0.1304
Hg  0.5978  0.7283  0.6707
Hg  0.9424  0.5729  0.1707
Hg  0.3293  0.7717  0.4022
Hg  0.0729  0.9022  0.1304
Hg  0.5729  0.9424  0.6707
Hg  0.7283  0.5978  0.1707
Hg  0.7717  0.4424  0.3696
Hg  0.8293  0.9271  0.0576
Hg  0.1304  0.7283  0.5576
Hg  0.3696  0.4271  0.0978
Hg  0.0978  0.9271  0.3696
Hg  0.4022  0.1304  0.5729
Hg  0.0978  0.1707  0.2283
Hg  0.4424  0.6707  0.0729
Hg  0.8293  0.9022  0.2717
Hg  0.1304  0.4022  0.0729
Hg  0.3696  0.9424  0.7717
Hg  0.5729  0.6304  0.4022
Hg  0.9271  0.8293  0.5576
Hg  0.7717  0.3293  0.9022
Hg  0.4271  0.3696  0.5978
Hg  0.0729  0.1707  0.4424
Hg  0.2283  0.6707  0.0978
Hg  0.1707  0.0978  0.7283
Hg  0.6304  0.0576  0.2283
Hg  0.8696  0.5978  0.9271
Hg  0.5576  0.3293  0.9271
Hg  0.5978  0.8696  0.4271
Hg  0.9022  0.8293  0.7717
Hg  0.9022  0.0729  0.6304
Hg  0.8696  0.2717  0.4424
Hg  0.1707  0.0729  0.9424
Hg  0.6304  0.5729  0.9022
Hg  0.4271  0.0576  0.3293
Hg  0.2717  0.4022  0.8293
Hg  0.2283  0.5576  0.6304
Hg  0.9271  0.0978  0.8696
Hg  0.6707  0.2283  0.5978
Hg  0.4424  0.7717  0.8696
Hg  0.0576  0.4271  0.8293
Hg  0.4022  0.2717  0.3293
Hg  0.0576  0.6304  0.7283
Hg  0.6707  0.4424  0.5729
Hg  0.2717  0.8696  0.9424

Material: LaPmSmZn
Method: DFT, GGA-PBE
State: relaxed

- Volume: 118 Å³ per cell
- Symmetry: No. 216
- ΔE to the lowest computed polymorph: 204.8 meV/atom
- Calculated formation energy: 0.052 eV/atom
- Density: 7.02 g/cm3

Cell lengths 5.5077, 5.5077, 5.5077 Å; angles 60.00, 60.00, 60.00 degrees
Fractional positions:
Zn  0.7500  0.7500  0.7500
La  0.0000  0.0000  0.0000
Sm  0.5000  0.5000  0.5000
Pm  0.2500  0.2500  0.2500

Material: Cs2PtCl
Method: DFT, GGA-PBE
State: relaxed

- Volume: 159 Å³ per cell
- Symmetry: No. 225
- Density: 5.18 g/cm3
- Formation energy (no corrections): -453.0 meV/atom

Cell lengths 6.0832, 6.0832, 6.0832 Å; angles 60.00, 60.00, 60.00 degrees
Each line ends with the local moment (μB).
Fractional positions:
Cs  0.2500  0.2500  0.2500  0.00
Cs  0.7500  0.7500  0.7500  0.00
Pt  0.5000  0.5000  0.5000  0.87
Cl  0.0000  0.0000  0.0000  0.03